# Zr4ScRh

A relaxed structure of Zr4ScRh (PBE-GGA, Alexandria).

It has space group C2/c (No. 15), with a = 7.8105 Å, b = 12.4965 Å, c = 5.7083 Å, α = 90.00°, β = 109.10° and γ = 90.00°. Symmetry generates all atoms from Zr at (0.1001, 0.1875, 0.0541), Zr at (0.2167, 0.3960, 0.3632), Sc at (0.0000, 0.3965, 0.7500) and Rh at (0.0000, 0.0060, 0.7500).

Its polymorph energy (0 for the lowest one) is 0.091 eV per atom. For the density of states at the Fermi level, the calculation gives 29.994 states/eV per cell. The calculation puts the density at 6.5 g cm⁻³. Its total energy is -8.149 eV per atom. The calculation puts the total magnetic moment at 0.00 μB per atom. The calculation puts the energy relative to the elements at -0.1700 eV/atom.

=====

# ZrSc2Rh

A relaxed structure of ZrSc2Rh (PBE-GGA, Alexandria).

It has space group I-42d (No. 122), with a = 7.7396 Å, b = 7.7396 Å, c = 5.7881 Å, α = 90.00°, β = 90.00° and γ = 90.00°. Symmetry generates all atoms from Zr at (0.0000, 0.0000, 0.0000), Sc at (0.1931, 0.7500, 0.6250) and Rh at (0.0000, 0.0000, 0.5000).

Its polymorph energy (0 for the lowest one) is 0.302 eV per atom. For the density of states at the Fermi level, the calculation gives 22.910 states/eV per cell. The calculation puts the density at 5.4 g cm⁻³. Its total energy is -7.320 eV per atom. The calculation puts the total magnetic moment at 0.00 μB per atom. The calculation puts the energy relative to the elements at -0.1797 eV/atom.